# InTc2Rh

A relaxed InTc2Rh crystal (PBE, the Alexandria database).

Lattice parameters (Å, degrees): 4.9816 4.9816 4.7104 79.36 79.36 33.37
Positions (direct):
In 0.7500 0.7500 0.7500
Rh 0.2500 0.2500 0.2500
Tc 0.9908 0.9908 0.0183
Tc 0.5092 0.5092 0.4817

- SG: C2/m, No. 12
- Formation enthalpy at 0 K: 0.11 eV/atom

# TbIrC

A relaxed TbIrC crystal (PBE, the Alexandria database).

Lattice parameters (Å, degrees): 4.8543 3.3820 3.3820 120.00 90.00 90.00
Positions (direct):
C 0.0588 0.6667 0.3333
Ir 0.2055 0.0000 0.0000
Tb 0.7358 0.3333 0.6667

- SG: P3m1, No. 156
- Formation enthalpy at 0 K: -0.20 eV/atom
- Energy above the most stable polymorph in this dataset: 290 meV per atom

# CaTl2SnI6

A relaxed CaTl2SnI6 crystal (PBE, the Alexandria database).

Lattice parameters (Å, degrees): 8.1178 8.7997 11.9060 90.00 89.32 90.00
Positions (direct):
Ca 0.5000 0.0000 0.5000
Ca 0.0000 0.5000 0.0000
Tl 0.0402 0.9013 0.2541
Tl 0.5402 0.5987 0.7541
Tl 0.9598 0.0987 0.7459
Tl 0.4598 0.4013 0.2459
Sn 0.5000 0.0000 0.0000
Sn 0.0000 0.5000 0.5000
I 0.3181 0.6865 0.0595
I 0.8181 0.8135 0.5595
I 0.6819 0.3135 0.9405
I 0.1819 0.1865 0.4405
I 0.3233 0.6915 0.4372
I 0.8233 0.8085 0.9372
I 0.6767 0.3085 0.5628
I 0.1767 0.1915 0.0628
I 0.8691 0.5328 0.2486
I 0.3691 0.9672 0.7486
I 0.1309 0.4672 0.7514
I 0.6309 0.0328 0.2514

- SG: P2_1/c, No. 14
- Energy relative to the elements, uncorrected: -0.883 eV/atom

# SiBi

A relaxed SiBi crystal (PBE, the Alexandria database).

Lattice parameters (Å, degrees): 3.2549 5.7305 6.3472 90.00 120.89 90.00
Positions (direct):
Si 0.2105 0.0000 0.7199
Si 0.2105 0.5000 0.2199
Bi 0.3590 0.0000 0.2199
Bi 0.3590 0.5000 0.7199

- SG: Imm2, No. 44
- Energy relative to the elements, uncorrected: 0.515 eV/atom

# Nb4Ga2C

A relaxed Nb4Ga2C crystal (PBE, the Alexandria database).

Lattice parameters (Å, degrees): 3.1246 7.2800 10.0320 90.00 90.00 90.00
Positions (direct):
Nb 0.0000 0.6382 0.8048
Nb 0.0000 0.3618 0.1952
Nb 0.0000 0.1382 0.6952
Nb 0.0000 0.8618 0.3048
Nb 0.5000 0.8208 0.5781
Nb 0.5000 0.1792 0.4219
Nb 0.5000 0.6792 0.0781
Nb 0.5000 0.3208 0.9219
Ga 0.5000 0.9394 0.8707
Ga 0.5000 0.0606 0.1293
Ga 0.5000 0.4394 0.6293
Ga 0.5000 0.5606 0.3707
C 0.0000 0.0000 0.5000
C 0.0000 0.5000 0.0000

- SG: Pbam, No. 55
- Formation enthalpy at 0 K: -0.33 eV/atom
- Energy above the most stable polymorph in this dataset: 79 meV per atom

# Li2FeTc

A relaxed Li2FeTc crystal (PBE, the Alexandria database).

Lattice parameters (Å, degrees): 2.5848 2.5848 9.1142 90.00 90.00 108.72
Positions (direct):
Fe 0.5000 0.5000 0.7400
Li 0.0000 0.0000 0.9788
Li 0.5000 0.5000 0.2658
Tc 0.0000 0.0000 0.5154

- SG: Cmm2, No. 35
- Formation enthalpy at 0 K: 0.20 eV/atom
- Energy above the most stable polymorph in this dataset: 0 meV per atom

# LiUMn2Se6

A relaxed LiUMn2Se6 crystal (PBE, the Alexandria database).

Lattice parameters (Å, degrees): 6.6176 6.6170 7.2050 62.67 62.67 60.00
Positions (direct):
Li 0.8172 0.8172 0.5483
U 0.3253 0.3253 0.0241
Mn 0.5091 0.5091 0.4732
Mn 0.0034 0.0034 0.9896
Se 0.6130 0.2377 0.2513
Se 0.2379 0.8980 0.2513
Se 0.8981 0.6129 0.2512
Se 0.3884 0.7523 0.7420
Se 0.7522 0.1172 0.7420
Se 0.1171 0.3886 0.7421

- SG: R3, No. 146
- Energy relative to the elements, uncorrected: -0.727 eV/atom

# CdGeAs2Br

A relaxed CdGeAs2Br crystal (PBE, the Alexandria database).

Lattice parameters (Å, degrees): 5.0542 5.0542 5.2817 90.00 90.00 90.00
Positions (direct):
As 0.0000 0.5000 0.0000
As 0.5000 0.0000 0.0000
Ge 0.0000 0.0000 0.0000
Br 0.0000 0.0000 0.5000
Cd 0.5000 0.5000 0.5000

- SG: P4/mmm, No. 123
- Energy relative to the elements, uncorrected: 0.487 eV/atom
- Energy above the most stable polymorph in this dataset: 0 meV per atom

# CaRe2Se

A relaxed CaRe2Se crystal (PBE, the Alexandria database).

Lattice parameters (Å, degrees): 5.9598 5.9598 4.4945 67.87 67.87 29.20
Positions (direct):
Re 0.0333 0.0333 0.9670
Re 0.4667 0.4667 0.5330
Ca 0.2500 0.2500 0.2500
Se 0.7500 0.7500 0.7500

- SG: Immm, No. 71
- Energy relative to the elements, uncorrected: 0.349 eV/atom

Short version: Fermi-level density of states = 3.5, 1.5, 0.0, 1.9, 9.9, 3.0, 6.2, 3.7, 3.3 states/eV/cell, in the order given.